1.
# PtAu2Cl, optimized geometry, DFT GGA-PBE
# Energy above the lowest structure with this stoichiometry = 0.090 eV per atom
# Raw formation energy = 249 meV/atom
data_PtAu2Cl
_space_group_name_H-M_alt 'P 4/m m m'
_space_group_IT_number 123
_space_group_name_Hall '-P 4 2'
_cell_length_a 3.181
_cell_length_b 3.181
_cell_length_c 7.358
_cell_angle_alpha 90.00
_cell_angle_beta 90.00
_cell_angle_gamma 90.00
loop_
_atom_site_label
_atom_site_type_symbol
_atom_site_fract_x
_atom_site_fract_y
_atom_site_fract_z
Pt1 Pt 0.000 0.000 0.000
Au1 Au 0.500 0.500 0.226
Cl1 Cl 0.000 0.000 0.500

=====

2.
# Cd2PW, optimized geometry, DFT GGA-PBE
# Energy of formation = 59 kJ per mole of atoms
# Energy above the lowest structure with this stoichiometry = 0.489 eV per atom
data_Cd2PW
_space_group_name_H-M_alt 'C 1 2/m 1'
_space_group_IT_number 12
_cell_length_a 5.243
_cell_length_b 9.168
_cell_length_c 3.009
_cell_angle_alpha 90.00
_cell_angle_beta 90.37
_cell_angle_gamma 90.00
loop_
_space_group_symop_operation_xyz
'x,y,z'
'-x,-y,-z'
'-x,y,-z'
'x,-y,z'
'x+1/2,y+1/2,z'
'-x+1/2,-y+1/2,-z'
'-x+1/2,y+1/2,-z'
'x+1/2,-y+1/2,z'
loop_
_atom_site_label
_atom_site_type_symbol
_atom_site_fract_x
_atom_site_fract_y
_atom_site_fract_z
Cd1 Cd 0.250 0.250 0.000
P1 P 0.000 0.000 0.500
W1 W 0.000 0.500 0.500

=====

no.,total magnetic moment (μB per formula unit)
1,0.0
2,0.0